No. 1
Material: Zr3HPb
Method: DFT, PBE
State: relaxed

Output
Final energy = -134.253 eV/cell

Geometry as POSCAR:
```
Zr3HPb
1.0
20.0586 0.0000 -3.5222
0.0000 6.0151 0.0000
-7.2302 0.0000 4.5222
H Zr Pb
4 12 4
Cartesian
12.3713 4.7760 0.7648
5.9571 4.2465 0.2648
0.4571 1.2390 0.2352
6.8714 1.7685 0.7352
7.5332 3.5587 1.4035
-5.0608 1.8222 3.7498
13.8174 0.4990 -2.1984
8.5836 1.1853 -0.2725
11.7095 0.5512 0.0964
-0.9889 5.5160 3.1983
4.2449 4.8297 1.2724
5.2953 2.4564 -0.4035
0.1730 2.5085 1.8239
17.8893 4.1928 -2.7498
1.1190 5.4639 0.9035
12.6555 3.5065 -0.8239
17.1150 1.3270 -2.0464
-4.2865 4.6880 3.0463
3.4706 1.6805 1.9759
9.3579 4.3346 -0.9759
```

No. 2
Material: Zr3H3Pb
Method: DFT, PBE
State: relaxed

Output
Final energy = -84.766 eV/cell

Geometry as POSCAR:
```
Zr3H3Pb
1.0
5.8322 0.0000 0.0000
0.0000 5.8322 0.0000
0.0000 0.0000 5.8322
H Zr Pb
6 6 2
Cartesian
0.0000 2.9161 4.3742
2.9161 1.4581 0.0000
2.9161 4.3742 0.0000
4.3742 0.0000 2.9161
0.0000 2.9161 1.4581
1.4581 0.0000 2.9161
2.9161 0.0000 1.4581
4.3742 2.9161 0.0000
2.9161 0.0000 4.3742
1.4581 2.9161 0.0000
0.0000 1.4581 2.9161
0.0000 4.3742 2.9161
0.0000 0.0000 0.0000
2.9161 2.9161 2.9161
```

Number 1: ΔE to the lowest computed polymorph 0.61 eV per formula unit. Number 2: ΔE to the lowest computed polymorph 0.00 eV per formula unit.